Density functional theory data (PBE) for CdH18C26S2N4O2 after structural relaxation.

CIF file:
```
data_CdH18C26S2N4O2
_space_group_name_H-M_alt 'P -1'
_space_group_IT_number 2
_cell_length_a 5.842
_cell_length_b 7.532
_cell_length_c 13.693
_cell_angle_alpha 104.90
_cell_angle_beta 93.82
_cell_angle_gamma 94.35
loop_
_space_group_symop_operation_xyz
'x,y,z'
'-x,-y,-z'
loop_
_atom_site_label
_atom_site_type_symbol
_atom_site_fract_x
_atom_site_fract_y
_atom_site_fract_z
Cd1 Cd 0.000 0.000 0.000
H1 H 0.005 0.033 0.398
H2 H 0.040 0.354 0.493
H3 H 0.052 0.488 0.818
H4 H 0.140 0.511 0.350
H5 H 0.153 0.019 0.782
H6 H 0.381 0.694 0.678
H7 H 0.395 0.784 0.331
H8 H 0.424 0.353 0.827
H9 H 0.428 0.254 0.147
C1 C 0.016 0.056 0.245
C2 C 0.024 0.430 0.654
C3 C 0.106 0.084 0.346
C4 C 0.125 0.353 0.566
C5 C 0.131 0.429 0.748
C6 C 0.328 0.175 0.375
C7 C 0.334 0.275 0.570
C8 C 0.341 0.206 0.205
C9 C 0.341 0.352 0.754
C10 C 0.442 0.276 0.666
C11 C 0.447 0.236 0.302
C12 C 0.451 0.203 0.478
C13 C 0.482 0.791 0.032
S1 S 0.221 0.691 0.018
N1 N 0.130 0.116 0.176
N2 N 0.326 0.137 0.955
O1 O 0.345 0.832 0.517
```

Output
DFT total energy = -6.690 eV per atom

Density functional theory data (PBE) for CdH10C6S2N4O after structural relaxation.

CIF file:
```
data_CdH10C6S2N4O
_space_group_name_H-M_alt 'P 1 2/c 1'
_space_group_IT_number 13
_cell_length_a 8.723
_cell_length_b 9.128
_cell_length_c 13.512
_cell_angle_alpha 90.00
_cell_angle_beta 106.69
_cell_angle_gamma 90.00
loop_
_space_group_symop_operation_xyz
'x,y,z'
'-x,-y,-z'
'-x,y,-z+1/2'
'x,-y,z+1/2'
loop_
_atom_site_label
_atom_site_type_symbol
_atom_site_fract_x
_atom_site_fract_y
_atom_site_fract_z
Cd1 Cd 0.000 0.000 0.000
Cd2 Cd 0.500 0.342 0.250
H1 H 0.000 0.482 0.684
H2 H 0.107 0.028 0.270
H3 H 0.143 0.298 0.932
H4 H 0.147 0.297 0.623
H5 H 0.250 0.158 0.886
H6 H 0.251 0.156 0.710
H7 H 0.315 0.429 0.817
H8 H 0.351 0.422 0.568
H9 H 0.466 0.273 0.637
H10 H 0.497 0.342 0.978
C1 C 0.000 0.042 0.750
C2 C 0.000 0.413 0.750
C3 C 0.113 0.317 0.120
C4 C 0.143 0.228 0.866
C5 C 0.146 0.228 0.689
C6 C 0.402 0.062 0.097
C7 C 0.470 0.372 0.592
S1 S 0.070 0.257 0.418
S2 S 0.416 0.126 0.362
N1 N 0.001 0.134 0.660
N2 N 0.146 0.322 0.778
N3 N 0.245 0.366 0.147
N4 N 0.270 0.017 0.068
O1 O 0.422 0.479 0.849
```

Output
DFT total energy = -5.803 eV per atom

Density functional theory data (PBE) for CdH10C2SeS2N4O4 after structural relaxation.

CIF file:
```
data_CdH10C2SeS2N4O4
_space_group_name_H-M_alt 'P 1 21/c 1'
_space_group_IT_number 14
_cell_length_a 9.172
_cell_length_b 14.140
_cell_length_c 8.350
_cell_angle_alpha 90.00
_cell_angle_beta 102.74
_cell_angle_gamma 90.00
loop_
_space_group_symop_operation_xyz
'x,y,z'
'-x,-y,-z'
'-x,y+1/2,-z+1/2'
'x,-y+1/2,z+1/2'
loop_
_atom_site_label
_atom_site_type_symbol
_atom_site_fract_x
_atom_site_fract_y
_atom_site_fract_z
Cd1 Cd 0.177 0.026 0.185
H1 H 0.046 0.634 0.794
H2 H 0.071 0.747 0.356
H3 H 0.078 0.211 0.390
H4 H 0.120 0.167 0.923
H5 H 0.242 0.101 0.540
H6 H 0.282 0.703 0.551
H7 H 0.370 0.133 0.721
H8 H 0.426 0.714 0.117
H9 H 0.427 0.112 0.991
H10 H 0.434 0.575 0.571
C1 C 0.244 0.663 0.954
C2 C 0.253 0.243 0.582
Se1 Se 0.164 0.547 0.308
S1 S 0.325 0.553 0.949
S2 S 0.356 0.169 0.200
N1 N 0.110 0.685 0.863
N2 N 0.140 0.236 0.958
N3 N 0.292 0.154 0.615
N4 N 0.319 0.728 0.056
O1 O 0.013 0.623 0.255
O2 O 0.065 0.051 0.852
O3 O 0.242 0.581 0.508
O4 O 0.456 0.085 0.893
```

Output
DFT total energy = -5.417 eV per atom

> Which value of DFT total energy does entry 1 give?

-6.690 eV per atom

> What is the DFT total energy in the third record?

-5.417 eV per atom